Record 1
# Dy5HgSb2

Dy5HgSb2 after structural relaxation (PBE, Alexandria).

Values from the calculation:
Energy relative to the elements, uncorrected, eV per atom: -0.391
Magnetic moment, μB per formula unit: 0.0
N(E_F), states/eV/cell: 15.1

a b c (Å): 5.742 6.476 14.377
angles (deg): 90.00 90.00 116.32
Element x y z (fractional)
Sb  0.801  0.602  0.107
Sb  0.199  0.398  0.893
Sb  0.801  0.602  0.393
Sb  0.199  0.398  0.607
Dy  0.399  0.798  0.750
Dy  0.622  0.243  0.552
Dy  0.378  0.757  0.052
Dy  0.070  0.140  0.103
Dy  0.622  0.243  0.948
Dy  0.070  0.140  0.397
Dy  0.601  0.202  0.250
Dy  0.930  0.860  0.603
Dy  0.378  0.757  0.448
Dy  0.930  0.860  0.897
Hg  0.297  0.594  0.250
Hg  0.703  0.406  0.750

***

Record 2
# Tb2Nd2SmHo

Tb2Nd2SmHo after structural relaxation (PBE, Alexandria).

Values from the calculation:
Magnetic moment, μB per formula unit: 0.0
N(E_F), states/eV/cell: 20.0
Uncorrected energy, eV/atom: -4.42

a b c (Å): 3.403 6.645 18.069
angles (deg): 90.00 90.00 90.00
Element x y z (fractional)
Tb  0.500  0.772  0.354
Tb  0.000  0.728  0.854
Tb  0.000  0.272  0.146
Tb  0.500  0.228  0.646
Ho  0.000  0.000  0.000
Ho  0.500  0.500  0.500
Nd  0.500  0.270  0.315
Nd  0.500  0.730  0.685
Nd  0.000  0.770  0.185
Nd  0.000  0.230  0.815
Sm  0.500  0.500  0.000
Sm  0.000  0.000  0.500

***

Record 3
# Sr2MnOs

Sr2MnOs after structural relaxation (PBE, Alexandria).

Values from the calculation:
Energy relative to the lowest polymorph listed for this composition, meV/atom: 632.5
Magnetic moment, μB per formula unit: 5.0
N(E_F), states/eV/cell: 2.8

a b c (Å): 5.263 5.263 5.263
angles (deg): 60.00 60.00 60.00
Element x y z (fractional)
Mn  0.000  0.000  0.000
Sr  0.750  0.750  0.750
Sr  0.250  0.250  0.250
Os  0.500  0.500  0.500

***

Record 4
# Sm8TlCu2

Sm8TlCu2 after structural relaxation (PBE, Alexandria).

Values from the calculation:
Energy relative to the lowest polymorph listed for this composition, meV/atom: 0.0
Magnetic moment, μB per formula unit: 0.0
N(E_F), states/eV/cell: 10.5

a b c (Å): 5.058 7.839 9.071
angles (deg): 113.02 106.19 90.00
Element x y z (fractional)
Sm  0.405  0.532  0.810
Sm  0.684  0.981  0.367
Sm  0.952  0.241  0.904
Sm  0.595  0.468  0.190
Sm  0.187  0.290  0.373
Sm  0.316  0.019  0.633
Sm  0.048  0.759  0.096
Sm  0.813  0.710  0.627
Cu  0.810  0.345  0.621
Cu  0.190  0.655  0.379
Tl  0.500  0.000  0.000

***

Record 5
# Pm6Ge2S3Br

Pm6Ge2S3Br after structural relaxation (PBE, Alexandria).

Values from the calculation:
Energy relative to the elements, uncorrected, eV per atom: -1.548
Magnetic moment, μB per formula unit: 0.0
N(E_F), states/eV/cell: 3.9

a b c (Å): 4.143 8.380 9.272
angles (deg): 102.10 102.91 90.00
Element x y z (fractional)
S  0.837  0.163  0.675
S  0.163  0.837  0.325
S  0.500  0.500  0.000
Pm  0.667  0.584  0.333
Pm  0.998  0.720  0.995
Pm  0.676  0.093  0.353
Pm  0.002  0.280  0.005
Pm  0.324  0.907  0.647
Pm  0.333  0.416  0.667
Ge  0.166  0.331  0.331
Ge  0.834  0.669  0.669
Br  0.500  0.000  0.000

***

Record 6
# PmNbGe

PmNbGe after structural relaxation (PBE, Alexandria).

Values from the calculation:
Energy relative to the lowest polymorph listed for this composition, meV/atom: 698.3
Magnetic moment, μB per formula unit: 0.0
N(E_F), states/eV/cell: 6.8

a b c (Å): 3.533 4.319 11.173
angles (deg): 78.86 90.00 90.00
Element x y z (fractional)
Nb  0.750  0.762  0.477
Nb  0.250  0.238  0.523
Ge  0.250  0.664  0.672
Ge  0.750  0.336  0.328
Pm  0.750  0.923  0.153
Pm  0.250  0.077  0.847

***

Record 7
# RbHgO2F

RbHgO2F after structural relaxation (PBE, Alexandria).

Values from the calculation:
Energy relative to the elements, uncorrected, eV per atom: -0.724
Magnetic moment, μB per formula unit: 1.1
N(E_F), states/eV/cell: 5.1

a b c (Å): 4.228 4.228 5.006
angles (deg): 90.00 90.00 90.00
Element x y z (fractional)
Rb  0.500  0.500  0.500
O  0.000  0.500  0.000
O  0.500  0.000  0.000
F  0.000  0.000  0.500
Hg  0.000  0.000  0.000

***

Record 8
# CsK6Rb8

CsK6Rb8 after structural relaxation (PBE, Alexandria).

Values from the calculation:
Energy relative to the lowest polymorph listed for this composition, meV/atom: 0.0
Magnetic moment, μB per formula unit: 0.0
N(E_F), states/eV/cell: 15.4

a b c (Å): 12.154 12.154 12.243
angles (deg): 60.24 60.24 60.00
Element x y z (fractional)
Rb  0.822  0.652  0.398
Rb  0.178  0.348  0.602
Rb  0.873  0.178  0.602
Rb  0.127  0.822  0.398
Rb  0.348  0.873  0.602
Rb  0.652  0.127  0.398
Rb  0.582  0.582  0.254
Rb  0.418  0.418  0.746
K  0.715  0.479  0.870
K  0.479  0.936  0.870
K  0.064  0.285  0.130
K  0.936  0.715  0.870
K  0.285  0.521  0.130
K  0.521  0.064  0.130
Cs  0.000  0.000  0.000

***

Record 9
# NdCu4As2

NdCu4As2 after structural relaxation (PBE, Alexandria).

Values from the calculation:
Magnetic moment, μB per formula unit: 0.0
N(E_F), states/eV/cell: 4.1
Uncorrected energy, eV/atom: -4.79

a b c (Å): 3.981 7.549 7.549
angles (deg): 90.00 90.00 90.00
Element x y z (fractional)
Nd  0.000  0.500  0.500
Nd  0.500  0.000  0.000
Cu  0.000  0.654  0.915
Cu  0.000  0.085  0.346
Cu  0.500  0.415  0.846
Cu  0.500  0.846  0.415
Cu  0.500  0.585  0.154
Cu  0.000  0.915  0.654
Cu  0.000  0.346  0.085
Cu  0.500  0.154  0.585
As  0.500  0.285  0.285
As  0.000  0.215  0.785
As  0.000  0.785  0.215
As  0.500  0.715  0.715

***

Record 10
# CsNaMn2Br8

CsNaMn2Br8 after structural relaxation (PBE, Alexandria).

Values from the calculation:
Energy relative to the elements, uncorrected, eV per atom: -0.950
Magnetic moment, μB per formula unit: 8.0
N(E_F), states/eV/cell: 14.6

a b c (Å): 7.023 7.023 10.195
angles (deg): 90.00 90.00 120.00
Element x y z (fractional)
Cs  0.000  0.000  0.000
Br  0.660  0.667  0.685
Br  0.333  0.667  0.982
Br  0.333  0.993  0.685
Br  0.340  0.333  0.315
Br  0.667  0.333  0.018
Br  0.993  0.660  0.315
Br  0.667  0.007  0.315
Br  0.007  0.340  0.685
Mn  0.333  0.667  0.750
Mn  0.667  0.333  0.250
Na  0.000  0.000  0.500

***

Record 11
# Pm2Zn15Cu2

Pm2Zn15Cu2 after structural relaxation (PBE, Alexandria).

Values from the calculation:
Magnetic moment, μB per formula unit: 0.0
N(E_F), states/eV/cell: 7.0
Uncorrected energy, eV/atom: -2.18

a b c (Å): 6.799 6.799 6.799
angles (deg): 82.64 82.64 82.64
Element x y z (fractional)
Pm  0.664  0.664  0.664
Pm  0.336  0.336  0.336
Zn  0.843  0.350  0.350
Zn  0.000  0.000  0.500
Zn  0.712  0.000  0.288
Zn  0.288  0.000  0.712
Zn  0.712  0.288  0.000
Zn  0.000  0.288  0.712
Zn  0.288  0.712  0.000
Zn  0.350  0.350  0.843
Zn  0.350  0.843  0.350
Zn  0.500  0.000  0.000
Zn  0.000  0.500  0.000
Zn  0.650  0.157  0.650
Zn  0.000  0.712  0.288
Zn  0.650  0.650  0.157
Zn  0.157  0.650  0.650
Cu  0.901  0.901  0.901
Cu  0.099  0.099  0.099

***

Record 12
# Li3TiF

Li3TiF after structural relaxation (PBE, Alexandria).

Values from the calculation:
Energy relative to the elements, uncorrected, eV per atom: 0.631
Energy relative to the lowest polymorph listed for this composition, meV/atom: 1157.2
Magnetic moment, μB per formula unit: 4.0
N(E_F), states/eV/cell: 7.3

a b c (Å): 5.369 5.369 5.369
angles (deg): 90.00 90.00 90.00
Element x y z (fractional)
F  0.500  0.500  0.500
Li  0.500  0.000  0.000
Li  0.000  0.500  0.000
Li  0.000  0.000  0.500
Ti  0.000  0.000  0.000

***

Record 13
# Tm3Cu3Pd2

Tm3Cu3Pd2 after structural relaxation (PBE, Alexandria).

Values from the calculation:
Energy relative to the lowest polymorph listed for this composition, meV/atom: 0.0
Magnetic moment, μB per formula unit: 0.0
N(E_F), states/eV/cell: 9.2

a b c (Å): 4.002 5.436 15.165
angles (deg): 90.00 90.00 111.60
Element x y z (fractional)
Cu  0.630  0.261  0.750
Cu  0.615  0.230  0.468
Cu  0.385  0.770  0.968
Cu  0.370  0.739  0.250
Cu  0.385  0.770  0.532
Cu  0.615  0.230  0.032
Tm  0.350  0.699  0.750
Tm  0.650  0.301  0.250
Tm  0.076  0.152  0.896
Tm  0.924  0.848  0.396
Tm  0.924  0.848  0.104
Tm  0.076  0.152  0.604
Pd  0.215  0.430  0.387
Pd  0.785  0.570  0.887
Pd  0.215  0.430  0.113
Pd  0.785  0.570  0.613

***

Record 14
# Ac2AuO

Ac2AuO after structural relaxation (PBE, Alexandria).

Values from the calculation:
Energy relative to the elements, uncorrected, eV per atom: -1.529
Energy relative to the lowest polymorph listed for this composition, meV/atom: 249.7
Magnetic moment, μB per formula unit: 0.0
N(E_F), states/eV/cell: 3.6

a b c (Å): 4.153 4.153 7.463
angles (deg): 73.84 73.84 60.00
Element x y z (fractional)
Ac  0.765  0.765  0.706
Ac  0.235  0.235  0.294
Au  0.000  0.000  0.000
O  0.500  0.500  0.500

***

Record 15
# LiLaMgSc2

LiLaMgSc2 after structural relaxation (PBE, Alexandria).

Values from the calculation:
Magnetic moment, μB per formula unit: 0.2
N(E_F), states/eV/cell: 10.1
Uncorrected energy, eV/atom: -3.71

a b c (Å): 5.407 4.957 5.407
angles (deg): 90.00 90.00 90.00
Element x y z (fractional)
Sc  0.000  0.000  0.500
Sc  0.500  0.000  0.000
Li  0.000  0.500  0.000
Mg  0.000  0.000  0.000
La  0.500  0.500  0.500

***

Record 16
# BaGa4Ag12

BaGa4Ag12 after structural relaxation (PBE, Alexandria).

Values from the calculation:
Magnetic moment, μB per formula unit: 0.0
N(E_F), states/eV/cell: 8.0
Uncorrected energy, eV/atom: -2.65

a b c (Å): 7.927 7.927 7.927
angles (deg): 109.47 109.47 109.47
Element x y z (fractional)
Ag  0.350  0.191  0.841
Ag  0.841  0.350  0.191
Ag  0.491  0.841  0.650
Ag  0.650  0.809  0.159
Ag  0.509  0.159  0.350
Ag  0.809  0.159  0.650
Ag  0.159  0.650  0.809
Ag  0.350  0.509  0.159
Ag  0.191  0.841  0.350
Ag  0.650  0.491  0.841
Ag  0.159  0.350  0.509
Ag  0.841  0.650  0.491
Ga  0.000  0.500  0.000
Ga  0.500  0.500  0.500
Ga  0.000  0.000  0.500
Ga  0.500  0.000  0.000
Ba  0.000  0.000  0.000

***

Record 17
# RhIOF2

RhIOF2 after structural relaxation (PBE, Alexandria).

Values from the calculation:
Energy relative to the elements, uncorrected, eV per atom: -0.437
Energy relative to the lowest polymorph listed for this composition, meV/atom: 0.0
Magnetic moment, μB per formula unit: 0.0
N(E_F), states/eV/cell: 8.7

a b c (Å): 4.558 4.558 3.719
angles (deg): 90.00 90.00 90.00
Element x y z (fractional)
I  0.500  0.500  0.500
F  0.500  0.000  0.000
F  0.000  0.500  0.000
Rh  0.000  0.000  0.000
O  0.000  0.000  0.500

***

Record 18
# TmMgPb3

TmMgPb3 after structural relaxation (PBE, Alexandria).

Values from the calculation:
Energy relative to the lowest polymorph listed for this composition, meV/atom: 0.0
Magnetic moment, μB per formula unit: 0.0
N(E_F), states/eV/cell: 9.3

a b c (Å): 6.383 6.464 13.350
angles (deg): 90.00 90.00 90.16
Element x y z (fractional)
Pb  0.183  0.750  0.922
Pb  0.495  0.749  0.723
Pb  0.683  0.750  0.078
Pb  0.995  0.749  0.277
Pb  0.817  0.250  0.078
Pb  0.005  0.251  0.723
Pb  0.505  0.251  0.277
Pb  0.750  0.500  0.501
Pb  0.250  0.000  0.499
Pb  0.317  0.250  0.922
Pb  0.250  0.500  0.499
Pb  0.750  0.000  0.501
Tm  0.000  0.249  0.308
Tm  0.500  0.751  0.308
Tm  0.000  0.751  0.692
Tm  0.500  0.249  0.692
Mg  0.250  0.500  0.119
Mg  0.250  0.000  0.119
Mg  0.750  0.500  0.881
Mg  0.750  0.000  0.881

***

Record 19
# NaZnSe2O8

NaZnSe2O8 after structural relaxation (PBE, Alexandria).

Values from the calculation:
Energy relative to the elements, uncorrected, eV per atom: -0.793
Magnetic moment, μB per formula unit: 1.1
N(E_F), states/eV/cell: 10.5

a b c (Å): 5.026 5.026 8.279
angles (deg): 72.33 72.33 60.00
Element x y z (fractional)
Na  0.500  0.500  0.500
O  0.733  0.035  0.836
O  0.267  0.965  0.164
O  0.397  0.733  0.836
O  0.603  0.267  0.164
O  0.185  0.185  0.444
O  0.815  0.815  0.556
O  0.965  0.603  0.164
O  0.035  0.397  0.836
Se  0.743  0.743  0.772
Se  0.257  0.257  0.228
Zn  0.000  0.000  0.000

***

Record 20
# TlGePd6

TlGePd6 after structural relaxation (PBE, Alexandria).

Values from the calculation:
Magnetic moment, μB per formula unit: 0.0
N(E_F), states/eV/cell: 7.4
Uncorrected energy, eV/atom: -5.05

a b c (Å): 4.018 4.018 7.988
angles (deg): 90.00 90.00 90.00
Element x y z (fractional)
Pd  0.500  0.000  0.266
Pd  0.000  0.500  0.266
Pd  0.500  0.500  0.000
Pd  0.500  0.500  0.500
Pd  0.000  0.500  0.734
Pd  0.500  0.000  0.734
Tl  0.000  0.000  0.000
Ge  0.000  0.000  0.500

***

Record 21
# MgAs2Au

MgAs2Au after structural relaxation (PBE, Alexandria).

Values from the calculation:
Magnetic moment, μB per formula unit: 0.0
N(E_F), states/eV/cell: 2.1
Uncorrected energy, eV/atom: -3.60

a b c (Å): 3.032 3.970 6.559
angles (deg): 90.00 90.00 90.00
Element x y z (fractional)
As  0.000  0.000  0.939
As  0.500  0.500  0.303
Au  0.000  0.000  0.500
Mg  0.500  0.500  0.758

***

Record 22
# Na2In3Ge

Na2In3Ge after structural relaxation (PBE, Alexandria).

Values from the calculation:
Energy relative to the lowest polymorph listed for this composition, meV/atom: 0.0
Magnetic moment, μB per formula unit: 0.0
N(E_F), states/eV/cell: 2.4

a b c (Å): 4.675 6.081 6.568
angles (deg): 77.91 69.15 67.39
Element x y z (fractional)
Na  0.426  0.821  0.327
Na  0.575  0.182  0.667
In  0.832  0.246  0.090
In  0.158  0.755  0.930
In  0.858  0.594  0.691
Ge  0.151  0.402  0.296